w | The following is a DFT calculation (PBE-GGA) of a geometry-optimized Tb3Dy7Er structure.

Computed properties:
As for the space-group type: P2/m (10). The calculated volume comes out at 353 Å³/cell.

The structure in CIF format:
```
data_Tb3Dy7Er
_chemical_formula_sum 'Tb3 Dy7 Er1'
_cell_length_a 5.501
_cell_length_b 9.908
_cell_length_c 8.844
_cell_angle_alpha 106.14
_cell_angle_beta 128.47
_cell_angle_gamma 89.98
_symmetry_space_group_name_H-M 'P 1'
_symmetry_Int_Tables_number 1
loop_
_symmetry_equiv_pos_as_xyz
'x,y,z'
loop_
_atom_site_label
_atom_site_type_symbol
_atom_site_fract_x
_atom_site_fract_y
_atom_site_fract_z
Tb1 Tb 0.281 0.001 0.781
Tb2 Tb 0.000 0.500 0.000
Tb3 Tb 0.719 0.999 0.219
Dy1 Dy 0.912 0.830 0.912
Dy2 Dy 0.855 0.709 0.356
Dy3 Dy 0.682 0.361 0.182
Dy4 Dy 0.318 0.639 0.818
Dy5 Dy 0.500 0.000 0.500
Dy6 Dy 0.145 0.291 0.644
Dy7 Dy 0.088 0.170 0.088
Er1 Er 0.500 0.500 0.500
```

x | The following is a DFT calculation (PBE-GGA) of a geometry-optimized Tb3Dy7Er structure.

Computed properties:
As for the space-group type: C2/m (12). The calculated volume comes out at 357 Å³/cell.

The structure in CIF format:
```
data_Tb3Dy7Er
_chemical_formula_sum 'Tb3 Dy7 Er1'
_cell_length_a 5.781
_cell_length_b 8.373
_cell_length_c 8.373
_cell_angle_alpha 83.20
_cell_angle_beta 110.24
_cell_angle_gamma 110.24
_symmetry_space_group_name_H-M 'P 1'
_symmetry_Int_Tables_number 1
loop_
_symmetry_equiv_pos_as_xyz
'x,y,z'
loop_
_atom_site_label
_atom_site_type_symbol
_atom_site_fract_x
_atom_site_fract_y
_atom_site_fract_z
Tb1 Tb 0.000 0.791 0.209
Tb2 Tb 0.500 0.000 0.000
Tb3 Tb 0.000 0.209 0.791
Dy1 Dy 0.209 0.207 0.207
Dy2 Dy 0.300 0.002 0.599
Dy3 Dy 0.700 0.401 0.998
Dy4 Dy 0.300 0.599 0.002
Dy5 Dy 0.000 0.500 0.500
Dy6 Dy 0.700 0.998 0.401
Dy7 Dy 0.791 0.793 0.793
Er1 Er 0.500 0.500 0.500
```

Which is less stable than every other structure shown? x is.